Record 1
Compound: ZnIrBr2
Source: Alexandria via LeMat-Bulk
Functional: GGA-PBE
Structure: relaxed

Lattice parameters (Å, degrees): 3.293 3.306 7.405 90.00 90.00 90.00
Site moments in Bohr magnetons follow the coordinates.
Positions (direct):
Br1 0.000 0.000 0.480  0.13
Br2 0.000 0.000 0.020  0.13
Ir1 0.500 0.500 0.250  1.08
Zn1 0.500 0.500 0.750  -0.02

Results
For the energy above the most stable polymorph in this dataset, the calculation gives 842 meV per atom. The density of states at the Fermi level is 4.285 states/eV/cell. As for the total DFT energy (no corrections): -2.507 eV per atom. As for the formation energy without anion corrections: 3.5 eV per formula unit.

=====

Record 2
Compound: ZnIr2Br
Source: Alexandria via LeMat-Bulk
Functional: GGA-PBE
Structure: relaxed

Lattice parameters (Å, degrees): 4.684 4.684 4.684 127.31 127.31 77.74
Positions (direct):
Zn1 0.250 0.750 0.500
Ir1 0.500 0.500 0.000
Ir2 0.000 0.000 0.000
Br1 0.750 0.250 0.500

Results
For the energy above the most stable polymorph in this dataset, the calculation gives 576 meV per atom. The density of states at the Fermi level is 4.107 states/eV/cell. As for the total DFT energy (no corrections): -4.319 eV per atom. As for the formation energy without anion corrections: 3.4 eV per formula unit.

=====

Record 3
Compound: ZnIrBr2
Source: Alexandria via LeMat-Bulk
Functional: GGA-PBE
Structure: relaxed

Lattice parameters (Å, degrees): 8.419 8.419 8.419 24.12 24.12 24.12
Positions (direct):
Ir1 0.000 0.000 0.000
Br1 0.901 0.901 0.901
Br2 0.099 0.099 0.099
Zn1 0.500 0.500 0.500

Results
For the energy above the most stable polymorph in this dataset, the calculation gives 485 meV per atom. The density of states at the Fermi level is 2.011 states/eV/cell. As for the total DFT energy (no corrections): -2.864 eV per atom. As for the formation energy without anion corrections: 2.0 eV per formula unit.

=====

Record 4
Compound: ZnIr2Br
Source: Alexandria via LeMat-Bulk
Functional: GGA-PBE
Structure: relaxed

Lattice parameters (Å, degrees): 3.982 3.982 9.145 77.42 77.42 90.00
Positions (direct):
Ir1 0.375 0.378 0.750
Ir2 0.622 0.125 0.250
Ir3 0.875 0.872 0.750
Ir4 0.128 0.625 0.250
Br1 0.750 0.250 0.500
Br2 0.000 0.000 0.000
Zn1 0.250 0.750 0.500
Zn2 0.500 0.500 0.000

Results
For the energy above the most stable polymorph in this dataset, the calculation gives 439 meV per atom. The density of states at the Fermi level is 7.416 states/eV/cell. As for the total DFT energy (no corrections): -4.456 eV per atom. As for the formation energy without anion corrections: 2.8 eV per formula unit.

=====

Record 5
Compound: ZnIr2Br
Source: Alexandria via LeMat-Bulk
Functional: GGA-PBE
Structure: relaxed

Lattice parameters (Å, degrees): 2.955 5.005 5.502 50.92 90.00 90.00
Positions (direct):
Ir1 0.500 0.500 0.000
Ir2 0.000 0.000 0.000
Zn1 0.500 0.500 0.500
Br1 0.000 0.000 0.500

Results
For the energy above the most stable polymorph in this dataset, the calculation gives 301 meV per atom. The density of states at the Fermi level is 2.944 states/eV/cell. As for the total DFT energy (no corrections): -4.594 eV per atom. As for the formation energy without anion corrections: 2.3 eV per formula unit.

=====

Record 6
Compound: Zn4IrBr
Source: Alexandria via LeMat-Bulk
Functional: GGA-PBE
Structure: relaxed

Lattice parameters (Å, degrees): 5.169 5.169 5.169 60.00 60.00 60.00
Positions (direct):
Zn1 0.374 0.374 0.374
Zn2 0.374 0.879 0.374
Zn3 0.879 0.374 0.374
Zn4 0.374 0.374 0.879
Ir1 0.000 0.000 0.000
Br1 0.750 0.750 0.750

Results
The density of states at the Fermi level is 4.528 states/eV/cell. As for the total DFT energy (no corrections): -2.228 eV per atom. As for the formation energy without anion corrections: 2.3 eV per formula unit.

=====

Record 7
Compound: ZnIr2Br
Source: Alexandria via LeMat-Bulk
Functional: GGA-PBE
Structure: relaxed

Lattice parameters (Å, degrees): 4.534 4.534 4.534 60.00 60.00 60.00
Site moments in Bohr magnetons follow the coordinates.
Positions (direct):
Ir1 0.750 0.750 0.750  0.45
Ir2 0.000 0.000 0.000  0.33
Zn1 0.250 0.250 0.250  0.01
Br1 0.500 0.500 0.500  0.03

Results
For the energy above the most stable polymorph in this dataset, the calculation gives 637 meV per atom. The density of states at the Fermi level is 6.469 states/eV/cell. As for the total DFT energy (no corrections): -4.258 eV per atom. As for the formation energy without anion corrections: 3.6 eV per formula unit.

=====

Record 8
Compound: ZnIr2Br
Source: Alexandria via LeMat-Bulk
Functional: GGA-PBE
Structure: relaxed

Lattice parameters (Å, degrees): 3.057 3.057 6.794 90.00 90.00 90.00
Positions (direct):
Ir1 0.000 0.000 0.030
Ir2 0.000 0.000 0.470
Br1 0.500 0.500 0.750
Zn1 0.500 0.500 0.250

Results
For the energy above the most stable polymorph in this dataset, the calculation gives 387 meV per atom. The density of states at the Fermi level is 3.938 states/eV/cell. As for the total DFT energy (no corrections): -4.508 eV per atom. As for the formation energy without anion corrections: 2.6 eV per formula unit.

=====

Record 9
Compound: ZnIr2Br
Source: Alexandria via LeMat-Bulk
Functional: GGA-PBE
Structure: relaxed

Lattice parameters (Å, degrees): 8.558 8.558 8.558 20.47 20.47 20.47
Positions (direct):
Ir1 0.250 0.250 0.250
Ir2 0.995 0.995 0.995
Br1 0.749 0.749 0.749
Zn1 0.506 0.506 0.506

Results
For the energy above the most stable polymorph in this dataset, the calculation gives 206 meV per atom. The density of states at the Fermi level is 4.764 states/eV/cell. As for the total DFT energy (no corrections): -4.688 eV per atom. As for the formation energy without anion corrections: 1.9 eV per formula unit.

=====

Record 10
Compound: ZnIr2Br
Source: Alexandria via LeMat-Bulk
Functional: GGA-PBE
Structure: relaxed

Lattice parameters (Å, degrees): 8.630 8.630 8.630 19.58 19.58 19.58
Positions (direct):
Br1 0.750 0.750 0.750
Zn1 0.250 0.250 0.250
Ir1 0.997 0.997 0.997
Ir2 0.503 0.503 0.503

Results
For the energy above the most stable polymorph in this dataset, the calculation gives 258 meV per atom. The density of states at the Fermi level is 5.340 states/eV/cell. As for the total DFT energy (no corrections): -4.637 eV per atom. As for the formation energy without anion corrections: 2.1 eV per formula unit.

=====

Record 11
Compound: ZnIrBr2
Source: Alexandria via LeMat-Bulk
Functional: GGA-PBE
Structure: relaxed

Lattice parameters (Å, degrees): 3.226 6.129 4.183 90.00 90.00 90.00
Positions (direct):
Br1 0.000 0.000 0.000
Br2 0.500 0.500 0.000
Ir1 0.500 0.000 0.500
Zn1 0.000 0.500 0.500

Results
For the energy above the most stable polymorph in this dataset, the calculation gives 593 meV per atom. The density of states at the Fermi level is 2.725 states/eV/cell. As for the total DFT energy (no corrections): -2.756 eV per atom. As for the formation energy without anion corrections: 2.5 eV per formula unit.

=====

Record 12
Compound: ZnIrBr2
Source: Alexandria via LeMat-Bulk
Functional: GGA-PBE
Structure: relaxed

Lattice parameters (Å, degrees): 4.371 4.371 7.725 75.62 75.62 48.38
Positions (direct):
Br1 0.043 0.043 0.094
Br2 0.781 0.781 0.654
Ir1 0.501 0.501 0.306
Zn1 0.174 0.174 0.447

Results
For the energy above the most stable polymorph in this dataset, the calculation gives 180 meV per atom. The density of states at the Fermi level is 2.299 states/eV/cell. As for the total DFT energy (no corrections): -3.169 eV per atom. As for the formation energy without anion corrections: 0.8 eV per formula unit.